{"formula": "Ti4SnH", "functional": "PBE-GGA", "state": "optimized geometry", "spacegroup": "C2/m (12)", "relative_energy_ev_per_atom": 0.000, "e_tot_ev_per_atom": -6.735, "lattice": [[7.088, -2.850, 0.000], [7.088, 2.850, 0.000], [-1.606, 0.000, 4.529]], "species": ["Ti", "Ti", "Ti", "Ti", "Ti", "Ti", "Ti", "Ti", "Sn", "Sn", "H", "H"], "frac_coords": [[0.141, 0.639, 0.388], [0.196, 0.196, 0.198], [0.246, 0.754, 0.000], [0.361, 0.859, 0.612], [0.639, 0.141, 0.388], [0.754, 0.246, 0.000], [0.804, 0.804, 0.802], [0.859, 0.361, 0.612], [0.312, 0.312, 0.812], [0.688, 0.688, 0.188], [0.076, 0.076, 0.298], [0.924, 0.924, 0.702]]}

---

{"formula": "TiSnH", "functional": "PBE-GGA", "state": "optimized geometry", "spacegroup": "P4/nmm (129)", "relative_energy_ev_per_atom": 0.024, "e_tot_ev_per_atom": -5.390, "lattice": [[3.646, 0.000, 0.000], [0.000, 3.646, 0.000], [0.000, 0.000, 6.202]], "species": ["Ti", "Ti", "Sn", "Sn", "H", "H"], "frac_coords": [[0.250, 0.250, 0.124], [0.750, 0.750, 0.876], [0.250, 0.250, 0.635], [0.750, 0.750, 0.365], [0.250, 0.750, 0.000], [0.750, 0.250, 0.000]]}

---

{"formula": "Ti5Sn5H2", "functional": "PBE-GGA", "state": "optimized geometry", "spacegroup": "C2/m (12)", "e_tot_ev_per_atom": -5.791, "lattice": [[5.011, -1.923, 0.000], [5.011, 1.923, 0.000], [-0.467, 0.000, 10.455]], "species": ["Ti", "Ti", "Ti", "Ti", "Ti", "Sn", "Sn", "Sn", "Sn", "Sn", "H", "H"], "frac_coords": [[0.000, 0.000, 0.000], [0.082, 0.082, 0.690], [0.388, 0.388, 0.818], [0.612, 0.612, 0.182], [0.918, 0.918, 0.310], [0.210, 0.210, 0.377], [0.322, 0.322, 0.107], [0.500, 0.500, 0.500], [0.678, 0.678, 0.893], [0.790, 0.790, 0.623], [0.046, 0.046, 0.179], [0.954, 0.954, 0.821]]}

---

{"formula": "Ti8Sn2H3", "functional": "PBE-GGA", "state": "optimized geometry", "spacegroup": "C2/m (12)", "relative_energy_ev_per_atom": 0.134, "e_tot_ev_per_atom": -6.348, "lattice": [[6.752, -2.785, 0.000], [6.752, 2.785, 0.000], [-0.944, 0.000, 5.245]], "species": ["Ti", "Ti", "Ti", "Ti", "Ti", "Ti", "Ti", "Ti", "Sn", "Sn", "H", "H", "H"], "frac_coords": [[0.090, 0.090, 0.907], [0.174, 0.680, 0.646], [0.316, 0.316, 0.174], [0.320, 0.826, 0.354], [0.680, 0.174, 0.646], [0.684, 0.684, 0.826], [0.826, 0.320, 0.354], [0.910, 0.910, 0.093], [0.244, 0.244, 0.651], [0.756, 0.756, 0.349], [0.244, 0.756, 0.000], [0.500, 0.500, 0.500], [0.756, 0.244, 0.000]]}

---

{"formula": "Ti4Sn2H", "functional": "PBE-GGA", "state": "optimized geometry", "spacegroup": "P2_1/m (11)", "relative_energy_ev_per_atom": 0.003, "e_tot_ev_per_atom": -6.485, "lattice": [[5.189, 0.000, 0.000], [0.000, 5.656, 0.000], [-1.431, 0.000, 7.821]], "species": ["Ti", "Ti", "Ti", "Ti", "Ti", "Ti", "Ti", "Ti", "Sn", "Sn", "Sn", "Sn", "H", "H"], "frac_coords": [[0.163, 0.250, 0.059], [0.217, 0.750, 0.361], [0.278, 0.506, 0.716], [0.278, 0.994, 0.716], [0.722, 0.006, 0.284], [0.722, 0.494, 0.284], [0.783, 0.250, 0.639], [0.837, 0.750, 0.941], [0.249, 0.250, 0.408], [0.352, 0.750, 0.038], [0.648, 0.250, 0.962], [0.751, 0.750, 0.592], [0.097, 0.250, 0.803], [0.903, 0.750, 0.197]]}

---

{"formula": "Ti4SnH2", "functional": "PBE-GGA", "state": "optimized geometry", "spacegroup": "Fdd2 (43)", "e_tot_ev_per_atom": -6.285, "lattice": [[0.000, 6.638, 3.066], [4.743, 0.000, 3.066], [4.743, 6.638, 0.000]], "species": ["Ti", "Ti", "Ti", "Ti", "Ti", "Ti", "Ti", "Ti", "Sn", "Sn", "H", "H", "H", "H"], "frac_coords": [[0.120, 0.388, 0.978], [0.272, 0.736, 0.130], [0.334, 0.666, 0.465], [0.388, 0.120, 0.514], [0.666, 0.334, 0.535], [0.715, 0.785, 0.584], [0.736, 0.272, 0.862], [0.785, 0.715, 0.916], [0.145, 0.145, 0.355], [0.895, 0.895, 0.105], [0.417, 0.505, 0.270], [0.442, 0.980, 0.745], [0.505, 0.417, 0.808], [0.980, 0.442, 0.833]]}

---

{"formula": "Ti8Sn4H", "functional": "PBE-GGA", "state": "optimized geometry", "spacegroup": "Pmm2 (25)", "e_tot_ev_per_atom": -6.683, "lattice": [[3.634, 0.000, 0.000], [0.000, 4.424, 0.000], [0.000, 0.000, 13.843]], "species": ["Ti", "Ti", "Ti", "Ti", "Ti", "Ti", "Ti", "Ti", "Sn", "Sn", "Sn", "Sn", "H"], "frac_coords": [[0.000, 0.000, 0.000], [0.000, 0.000, 0.333], [0.000, 0.500, 0.186], [0.000, 0.500, 0.524], [0.500, 0.000, 0.503], [0.500, 0.000, 0.839], [0.500, 0.500, 0.023], [0.500, 0.500, 0.685], [0.000, 0.000, 0.667], [0.000, 0.500, 0.862], [0.500, 0.000, 0.161], [0.500, 0.500, 0.361], [0.000, 0.000, 0.469]]}

---

{"formula": "Ti5SnH2", "functional": "PBE-GGA", "state": "optimized geometry", "spacegroup": "I4/mmm (139)", "e_tot_ev_per_atom": -6.411, "lattice": [[-2.006, 2.006, 7.052], [2.006, -2.006, 7.052], [2.006, 2.006, -7.052]], "species": ["Ti", "Ti", "Ti", "Ti", "Ti", "Sn", "H", "H"], "frac_coords": [[0.000, 0.000, 0.000], [0.152, 0.652, 0.500], [0.348, 0.848, 0.500], [0.652, 0.152, 0.500], [0.848, 0.348, 0.500], [0.500, 0.500, 0.000], [0.134, 0.134, 0.000], [0.866, 0.866, 0.000]]}

---

{"formula": "Ti2VSnH", "functional": "PBE-GGA", "state": "optimized geometry", "spacegroup": "P4/mmm (123)", "e_tot_ev_per_atom": -6.771, "lattice": [[4.291, 0.000, 0.000], [0.000, 4.291, 0.000], [0.000, 0.000, 3.733]], "species": ["Ti", "Ti", "V", "Sn", "H"], "frac_coords": [[0.000, 0.500, 0.000], [0.500, 0.000, 0.000], [0.000, 0.000, 0.500], [0.500, 0.500, 0.500], [0.000, 0.000, 0.000]]}

---

{"formula": "Ti2SnHW", "functional": "PBE-GGA", "state": "optimized geometry", "spacegroup": "P4/mmm (123)", "e_tot_ev_per_atom": -7.416, "lattice": [[4.308, 0.000, 0.000], [0.000, 4.308, 0.000], [0.000, 0.000, 3.814]], "species": ["Ti", "Ti", "Sn", "H", "W"], "frac_coords": [[0.000, 0.500, 0.000], [0.500, 0.000, 0.000], [0.000, 0.000, 0.500], [0.500, 0.500, 0.000], [0.500, 0.500, 0.500]]}

---

{"formula": "Y2TiSnH", "functional": "PBE-GGA", "state": "optimized geometry", "spacegroup": "P4/mmm (123)", "e_tot_ev_per_atom": -6.007, "lattice": [[4.740, 0.000, 0.000], [0.000, 4.740, 0.000], [0.000, 0.000, 4.391]], "species": ["Y", "Y", "Ti", "Sn", "H"], "frac_coords": [[0.000, 0.500, 0.000], [0.500, 0.000, 0.000], [0.000, 0.000, 0.500], [0.500, 0.500, 0.500], [0.000, 0.000, 0.000]]}

---

{"formula": "YTi2SnH", "functional": "PBE-GGA", "state": "optimized geometry", "spacegroup": "P4/mmm (123)", "e_tot_ev_per_atom": -6.225, "lattice": [[4.355, 0.000, 0.000], [0.000, 4.355, 0.000], [0.000, 0.000, 4.499]], "species": ["Y", "Ti", "Ti", "Sn", "H"], "frac_coords": [[0.000, 0.000, 0.000], [0.000, 0.500, 0.500], [0.500, 0.000, 0.500], [0.500, 0.500, 0.000], [0.000, 0.000, 0.500]]}

---

{"formula": "Ti2ZnSnH", "functional": "PBE-GGA", "state": "optimized geometry", "spacegroup": "P4/mmm (123)", "e_tot_ev_per_atom": -5.149, "lattice": [[4.046, 0.000, 0.000], [0.000, 4.046, 0.000], [0.000, 0.000, 4.308]], "species": ["Ti", "Ti", "Zn", "Sn", "H"], "frac_coords": [[0.000, 0.500, 0.000], [0.500, 0.000, 0.000], [0.000, 0.000, 0.500], [0.500, 0.500, 0.500], [0.000, 0.000, 0.000]]}

---

{"formula": "ZrTi2SnH", "functional": "PBE-GGA", "state": "optimized geometry", "spacegroup": "P4/mmm (123)", "relative_energy_ev_per_atom": 0.173, "e_tot_ev_per_atom": -6.571, "lattice": [[4.090, 0.000, 0.000], [0.000, 4.090, 0.000], [0.000, 0.000, 4.843]], "species": ["Zr", "Ti", "Ti", "Sn", "H"], "frac_coords": [[0.000, 0.000, 0.000], [0.000, 0.500, 0.500], [0.500, 0.000, 0.500], [0.500, 0.500, 0.000], [0.500, 0.500, 0.500]]}

---

{"formula": "Zr2TiSnH", "functional": "PBE-GGA", "state": "optimized geometry", "spacegroup": "P4/mmm (123)", "e_tot_ev_per_atom": -6.892, "lattice": [[4.412, 0.000, 0.000], [0.000, 4.412, 0.000], [0.000, 0.000, 4.347]], "species": ["Zr", "Zr", "Ti", "Sn", "H"], "frac_coords": [[0.000, 0.500, 0.000], [0.500, 0.000, 0.000], [0.000, 0.000, 0.500], [0.500, 0.500, 0.500], [0.000, 0.000, 0.000]]}

---

{"formula": "ZrTi2SnH", "functional": "PBE-GGA", "state": "optimized geometry", "spacegroup": "P4/mmm (123)", "relative_energy_ev_per_atom": 0.000, "e_tot_ev_per_atom": -6.744, "lattice": [[4.331, 0.000, 0.000], [0.000, 4.331, 0.000], [0.000, 0.000, 4.184]], "species": ["Zr", "Ti", "Ti", "Sn", "H"], "frac_coords": [[0.000, 0.000, 0.000], [0.000, 0.500, 0.500], [0.500, 0.000, 0.500], [0.500, 0.500, 0.000], [0.000, 0.000, 0.500]]}

---

{"formula": "Tl2SnH", "functional": "PBE-GGA", "state": "optimized geometry", "spacegroup": "Fm-3m (225)", "relative_energy_ev_per_atom": 0.045, "e_tot_ev_per_atom": -2.578, "lattice": [[0.000, 3.642, 3.642], [3.642, 0.000, 3.642], [3.642, 3.642, 0.000]], "species": ["Tl", "Tl", "Sn", "H"], "frac_coords": [[0.250, 0.250, 0.250], [0.750, 0.750, 0.750], [0.000, 0.000, 0.000], [0.500, 0.500, 0.500]]}

---

{"formula": "Tl3SnH2", "functional": "PBE-GGA", "state": "optimized geometry", "spacegroup": "P-1 (2)", "e_tot_ev_per_atom": -2.751, "lattice": [[4.367, 0.000, 0.000], [-0.049, 6.065, 0.000], [-0.015, -0.008, 10.516]], "species": ["Tl", "Tl", "Tl", "Tl", "Tl", "Tl", "Sn", "Sn", "H", "H", "H", "H"], "frac_coords": [[0.194, 0.143, 0.251], [0.272, 0.741, 0.496], [0.273, 0.742, 0.004], [0.727, 0.258, 0.996], [0.728, 0.259, 0.504], [0.806, 0.857, 0.749], [0.168, 0.371, 0.751], [0.832, 0.629, 0.249], [0.450, 0.144, 0.750], [0.483, 0.577, 0.749], [0.517, 0.423, 0.251], [0.550, 0.856, 0.250]]}

---

{"formula": "TlSnH2", "functional": "PBE-GGA", "state": "optimized geometry", "spacegroup": "R3m (160)", "relative_energy_ev_per_atom": 0.000, "e_tot_ev_per_atom": -2.885, "lattice": [[1.823, 1.053, 6.039], [-1.823, 1.053, 6.039], [0.000, -2.105, 6.039]], "species": ["Tl", "Sn", "H", "H"], "frac_coords": [[0.000, 0.000, 0.000], [0.179, 0.179, 0.179], [0.550, 0.550, 0.550], [0.800, 0.800, 0.800]]}

---

{"formula": "TlSnH2", "functional": "PBE-GGA", "state": "optimized geometry", "spacegroup": "Fm-3m (225)", "relative_energy_ev_per_atom": 0.264, "e_tot_ev_per_atom": -2.622, "lattice": [[0.000, 3.187, 3.187], [3.187, 0.000, 3.187], [3.187, 3.187, 0.000]], "species": ["Tl", "Sn", "H", "H"], "frac_coords": [[0.000, 0.000, 0.000], [0.500, 0.500, 0.500], [0.250, 0.250, 0.250], [0.750, 0.750, 0.750]]}

---

{"formula": "Tl2SnH6", "functional": "PBE-GGA", "state": "optimized geometry", "spacegroup": "P-1 (2)", "e_tot_ev_per_atom": -2.877, "lattice": [[4.423, 0.000, 0.000], [0.005, 5.698, 0.000], [0.010, 2.845, 4.958]], "species": ["Tl", "Tl", "Sn", "H", "H", "H", "H", "H", "H"], "frac_coords": [[0.156, 0.167, 0.167], [0.844, 0.833, 0.833], [0.500, 0.500, 0.500], [0.258, 0.659, 0.656], [0.260, 0.185, 0.657], [0.262, 0.657, 0.185], [0.738, 0.343, 0.815], [0.740, 0.815, 0.343], [0.742, 0.341, 0.344]]}

---

{"formula": "TlSnH2", "functional": "PBE-GGA", "state": "optimized geometry", "spacegroup": "I-42d (122)", "relative_energy_ev_per_atom": 0.002, "e_tot_ev_per_atom": -2.884, "lattice": [[-2.410, 2.410, 6.364], [2.410, -2.410, 6.364], [2.410, 2.410, -6.364]], "species": ["Tl", "Tl", "Sn", "Sn", "H", "H", "H", "H"], "frac_coords": [[0.000, 0.000, 0.000], [0.750, 0.250, 0.500], [0.250, 0.750, 0.500], [0.500, 0.500, 0.000], [0.322, 0.625, 0.197], [0.375, 0.572, 0.697], [0.428, 0.125, 0.803], [0.875, 0.678, 0.303]]}

---

{"formula": "Tl2SnH", "functional": "PBE-GGA", "state": "optimized geometry", "spacegroup": "I-42d (122)", "relative_energy_ev_per_atom": 0.000, "e_tot_ev_per_atom": -2.623, "lattice": [[-2.892, 2.892, 6.461], [2.892, -2.892, 6.461], [2.892, 2.892, -6.461]], "species": ["Tl", "Tl", "Tl", "Tl", "Sn", "Sn", "H", "H"], "frac_coords": [[0.004, 0.625, 0.879], [0.375, 0.254, 0.379], [0.746, 0.125, 0.121], [0.875, 0.996, 0.621], [0.250, 0.750, 0.500], [0.500, 0.500, 0.000], [0.000, 0.000, 0.000], [0.750, 0.250, 0.500]]}

---

{"formula": "YTlSn2H", "functional": "PBE-GGA", "state": "optimized geometry", "spacegroup": "P4/mmm (123)", "e_tot_ev_per_atom": -4.184, "lattice": [[4.995, 0.000, 0.000], [0.000, 4.995, 0.000], [0.000, 0.000, 4.465]], "species": ["Y", "Tl", "Sn", "Sn", "H"], "frac_coords": [[0.000, 0.000, 0.000], [0.500, 0.500, 0.000], [0.000, 0.500, 0.500], [0.500, 0.000, 0.500], [0.000, 0.000, 0.500]]}

---

{"formula": "Tm2Sn2H3", "functional": "PBE-GGA", "state": "optimized geometry", "spacegroup": "C2/m (12)", "e_tot_ev_per_atom": -4.330, "lattice": [[5.998, -1.729, 0.000], [5.998, 1.729, 0.000], [-3.837, 0.000, 5.763]], "species": ["Tm", "Tm", "Sn", "Sn", "H", "H", "H"], "frac_coords": [[0.139, 0.139, 0.253], [0.861, 0.861, 0.747], [0.142, 0.142, 0.783], [0.858, 0.858, 0.217], [0.330, 0.330, 0.557], [0.500, 0.500, 0.000], [0.670, 0.670, 0.443]]}